No. 1
Compound: Sm5Er3Tl2
Source: Alexandria
Functional: PBE
Structure: relaxed

```
20
Lattice="-0.088 0.973 6.434 -8.037 -5.683 4.042 7.375 -6.319 4.348" Properties=species:S:1:pos:R:3 pbc="T T T"
Sm 2.267 -4.166 7.243
Tl 5.222 -4.124 7.277
Tl -5.971 -6.904 7.546
Er -0.066 0.730 4.825
Sm -0.397 -5.271 9.020
Sm -3.016 -6.863 7.580
Er 4.126 -4.660 4.052
Er -4.697 -3.811 7.095
Tl -5.784 -4.155 3.841
Er -4.875 -6.368 10.771
Er -0.022 0.243 1.608
Sm -0.254 -2.039 8.533
Sm 2.094 -6.589 10.899
Tl 5.035 -6.873 10.982
Sm -0.210 -2.526 5.316
Sm -0.353 -5.758 5.803
Sm -0.540 -8.503 9.507
Er 3.948 -7.217 7.728
Sm -2.843 -4.440 3.924
Sm -0.496 -8.990 6.290
```

Computed properties:
The value obtained for the energy relative to the elements is 169.8 meV/atom. The total magnetic moment is 0.00 μB per formula unit. The symmetry is Ibam (72).

=====

No. 2
Compound: Tl3AsRh
Source: Alexandria
Functional: PBE
Structure: relaxed

```
5
Lattice="5.248 0.000 0.000 0.000 5.248 0.000 0.000 0.000 5.248" Properties=species:S:1:pos:R:3 pbc="T T T"
As 2.624 2.624 2.624
Tl 0.000 2.624 0.000
Tl 0.000 0.000 2.624
Rh 0.000 0.000 0.000
Tl 2.624 0.000 0.000
```

Computed properties:
The value obtained for the energy relative to the elements is 289.1 meV/atom. The calculation puts the energy above the most stable polymorph in this dataset at 0 meV per atom. The total magnetic moment is 1.00 μB per formula unit. The symmetry is Pm-3m (221).

=====

No. 3
Compound: HfP3W
Source: Alexandria
Functional: PBE
Structure: relaxed

```
5
Lattice="4.660 0.000 0.000 0.000 4.660 0.000 0.000 0.000 4.660" Properties=species:S:1:pos:R:3 pbc="T T T"
Hf 2.330 2.330 2.330
P 0.000 2.330 0.000
P 0.000 0.000 2.330
W 0.000 0.000 0.000
P 2.330 0.000 0.000
```

Computed properties:
The value obtained for the energy relative to the elements is 566.4 meV/atom. The calculation puts the energy above the most stable polymorph in this dataset at 0 meV per atom. The total magnetic moment is 0.00 μB per formula unit. The symmetry is Pm-3m (221).

=====

No. 4
Compound: FeCuSb2
Source: Alexandria
Functional: PBE
Structure: relaxed

```
4
Lattice="3.994 0.000 0.000 0.000 3.671 0.009 0.000 1.817 5.010" Properties=species:S:1:pos:R:3 pbc="T T T"
Fe 1.997 3.421 3.903
Sb 1.997 1.604 1.756
Cu 0.000 3.443 2.294
Sb 0.000 5.254 4.596
```

Computed properties:
The total magnetic moment is 2.22 μB per formula unit. The symmetry is Pm (6). As for the formation energy without anion corrections: 3.4 kcal/mol of atoms.